Material: NaHg3PtSe4
Method: DFT, GGA-PBE
State: optimized geometry

POSCAR file:
```
NaHg3PtSe4
1.0
-2.511 -4.408 -3.908
5.882 -1.645 -1.924
0.321 -4.344 4.694
Se Hg Na Pt
4 3 1 1
direct
0.257 0.743 0.743
0.743 0.743 0.257
0.743 0.257 0.743
0.257 0.257 0.257
0.000 0.500 0.500
0.500 0.000 0.500
0.500 0.500 0.000
0.000 0.000 0.000
0.500 0.500 0.500
```

Calculated values
The total energy is -2.534 eV/atom. The calculation puts the calculated density at 7181 kg/m³. As for the space group: P-43m (215).


Material: Mg2Ta2O5
Method: DFT, GGA-PBE
State: optimized geometry

POSCAR file:
```
Mg2Ta2O5
1.0
8.661 0.000 0.000
0.000 3.473 0.000
0.000 0.000 3.473
O Ta Mg
5 2 2
direct
0.862 0.000 0.500
0.138 0.000 0.500
0.138 0.500 0.000
0.500 0.500 0.500
0.862 0.500 0.000
0.000 0.000 0.000
0.500 0.000 0.000
0.248 0.500 0.500
0.752 0.500 0.500
```

Calculated values
The total energy is -7.516 eV/atom. The calculation puts the calculated density at 7795 kg/m³. As for the space group: P4/mmm (123).